Below is a relaxed TeAsPd2 crystal, with properties calculated at the PBE level.

Unit cell a=4.721 b=4.721 c=15.565 alpha=90.00 beta=90.00 gamma=90.00
Space group I-42d (No. 122)
One atom of each set of equivalent atoms:
Te 0.000 0.000 0.000 (multiplicity 4)
As 0.000 0.000 0.500 (multiplicity 4)
Pd 0.187 0.250 0.625 (multiplicity 8)

total energy = -4.730 eV/atom
crystal system = tetragonal
energy above the most stable polymorph in this dataset = 0.154 eV/atom
spin magnetization = 0.0 μB/cell
ρ = 7.951 g cm⁻³